Entry 1:
12
Lattice="5.9803 -0.0735 0.0000 1.0754 5.8328 0.0000 0.5377 2.9164 6.2503" Properties=species:S:1:pos:R:3 comment="BaNaNpN3 PBE optimized geometry" formation_energy_uncorrected_mev_per_atom=-704 n_ef_per_ev_cell=6.909 space_group=C2/c pbc="T T T"
Ba 2.0328 2.8980 3.1252
Ba 5.5607 5.7777 3.1250
Na 2.5705 5.8144 5.3807
Na 5.0229 2.8613 0.8696
Np 5.0229 2.8613 5.4349
Np 2.5705 5.8144 0.8154
N 4.4317 7.5702 5.6004
N 6.6896 3.9851 5.6004
N 5.0229 2.8613 3.4203
N 3.1617 1.1054 0.6499
N 0.9039 4.6906 0.6499
N 2.5705 5.8144 2.8300

Entry 2:
5
Lattice="-6.2211 1.4351 2.8554 -1.6234 -6.8019 -0.1184 2.7527 -0.7681 6.3834" Properties=species:S:1:pos:R:3 comment="Cs3HgP PBE optimized geometry" de_polymorph_mev_per_atom=0 n_ef_per_ev_cell=4.415 space_group=Pm-3m pbc="T T T"
Cs -0.8117 -3.4009 -0.0592
Cs 1.3763 -0.3841 3.1917
Cs -3.1105 0.7175 1.4277
Hg -2.5459 -3.0674 4.5602
P 0.0000 0.0000 0.0000

Entry 3:
3
Lattice="-0.2325 -2.7728 0.5272 2.0938 0.9571 -1.6495 3.3946 0.6010 4.6577" Properties=species:S:1:pos:R:3 comment="LiBeP PBE optimized geometry" n_ef_per_ev_cell=0.612 final_energy_ev_per_atom=-3.49 space_group=P3m1 pbc="T T T"
Be 3.2622 0.5776 4.4761
Li 1.7059 -1.3236 1.3973
P 3.6823 0.1323 2.3197

Entry 4:
5
Lattice="4.5322 0.0000 0.0000 0.0000 4.3399 0.0000 0.0000 0.0000 4.5322" Properties=species:S:1:pos:R:3 comment="CrReMoPd2 PBE optimized geometry" n_ef_per_ev_cell=6.710 final_energy_ev_per_atom=-7.12 space_group=P4/mmm pbc="T T T"
Re 2.2661 2.1699 2.2661
Mo 0.0000 2.1699 0.0000
Pd 0.0000 0.0000 2.2661
Pd 2.2661 0.0000 0.0000
Cr 0.0000 0.0000 0.0000